Density functional theory data (GGA-PBE) for K2AgSb2 after structural relaxation.

Output
distance to the lowest polymorph of the same formula: 0 meV per atom
total moment: 0.00 Bohr magnetons per cell
calculated total energy: -2.9740 eV per atom
space group: C2/m

a b c (Å): 5.103 6.623 10.789
angles (deg): 84.29 76.32 67.34
Fractional positions:
1 Sb 0.089 0.274 0.548
2 Sb 0.619 0.875 0.887
3 Sb 0.381 0.125 0.113
4 Sb 0.911 0.726 0.452
5 K 0.321 0.675 0.682
6 K 0.913 0.284 0.889
7 K 0.679 0.325 0.318
8 K 0.087 0.716 0.111
9 Ag 0.366 0.910 0.358
10 Ag 0.634 0.090 0.642